Entry 1:
VASP calculation (PBE) on a relaxed structure of HoTaNi10.

Computed properties:
* calculated formation energy: -0.191 eV per atom
* density of states at the Fermi level: 1.250 states/eV per atom

abc: 3.9661 4.7473 8.2269
angles: 90.00 90.00 90.00
With the nearest neighbours (Å) after each atom.
Sites, in units of the cell vectors:
Ho  0.0000  0.0000  0.0000  10 Ni 2.80-3.09
Ta  0.0000  0.5000  0.5000  6 Ni 2.63-2.70
Ni  0.0000  0.0000  0.3430  7 Ni 2.37-2.58
Ni  0.0000  0.0000  0.6570  7 Ni 2.37-2.58
Ni  0.0000  0.5000  0.1807  6 Ni 2.39-2.48, 1 Ta 2.63
Ni  0.0000  0.5000  0.8193  6 Ni 2.39-2.48, 1 Ta 2.63
Ni  0.5000  0.0000  0.5000  8 Ni 2.32-2.37
Ni  0.5000  0.2559  0.2598  8 Ni 2.32-2.43
Ni  0.5000  0.2559  0.7402  8 Ni 2.32-2.43
Ni  0.5000  0.5000  0.0000  8 Ni 2.43-2.48
Ni  0.5000  0.7441  0.2598  8 Ni 2.32-2.43
Ni  0.5000  0.7441  0.7402  8 Ni 2.32-2.43



Entry 2:
VASP calculation (PBE) on a relaxed structure of HoTa2Ni9.

Computed properties:
* calculated formation energy: -0.308 eV per atom
* density of states at the Fermi level: 0.921 states/eV per atom

abc: 8.3282 8.3282 8.3282
angles: 33.58 33.58 33.58
With the nearest neighbours (Å) after each atom.
Sites, in units of the cell vectors:
Ho  0.0000  0.0000  0.0000  6 Ni 2.78
Ta  0.1418  0.1418  0.1418  12 Ni 2.73-2.84, 3 Ta 3.02
Ta  0.8582  0.8582  0.8582  12 Ni 2.73-2.84, 3 Ta 3.02
Ni  0.0814  0.5895  0.5895  7 Ni 2.35-2.48
Ni  0.3337  0.3337  0.3337  6 Ni 2.47-2.48
Ni  0.4105  0.4105  0.9186  7 Ni 2.35-2.48
Ni  0.4105  0.9186  0.4105  7 Ni 2.35-2.48
Ni  0.5000  0.5000  0.5000  6 Ni 2.35
Ni  0.5895  0.0814  0.5895  7 Ni 2.35-2.48
Ni  0.5895  0.5895  0.0814  7 Ni 2.35-2.48
Ni  0.6663  0.6663  0.6663  6 Ni 2.47-2.48
Ni  0.9186  0.4105  0.4105  7 Ni 2.35-2.48



Entry 3:
VASP calculation (PBE) on a relaxed structure of Tb2HoNi.

Computed properties:
* calculated formation energy: -0.144 eV per atom
* density of states at the Fermi level: 1.462 states/eV per atom
* E above lowest polymorph: 0.401 eV per formula unit

abc: 3.4578 3.4578 8.6070
angles: 90.00 90.00 90.00
With the nearest neighbours (Å) after each atom.
Sites, in units of the cell vectors:
Tb  0.0000  0.0000  0.1887  4 Ni 2.94, 1 Tb 3.25
Tb  0.0000  0.0000  0.8113  4 Ni 2.94, 1 Tb 3.25
Ho  0.5000  0.5000  0.5000  4 Ho 3.46, 8 Tb 3.63
Ni  0.5000  0.5000  0.0000  8 Tb 2.94



> density of states at the Fermi level of number 2 (HoTa2Ni9)?

0.921 states/eV per atom



> The highest calculated formation energy belongs to which entry?

Tb2HoNi



> What is the density of states at the Fermi level in the first record?

1.250 states/eV per atom



> density of states at the Fermi level of number 3 (Tb2HoNi)?

1.462 states/eV per atom